[1]
Entry from Alexandria via LeMat-Bulk: a geometry-optimized ThMg2Pb2 structure (PBE).

abc: 4.434 4.434 13.910
angles: 90.00 90.00 90.00
Space group I4/mmm (No. 139)
Unique sites:
Th 0.000 0.000 0.000 x2
Mg 0.000 0.500 0.250 x4
Pb 0.000 0.000 0.391 x4

## Properties
The formation enthalpy at 0 K comes out at -101 meV/atom.

[2]
Entry from Alexandria via LeMat-Bulk: a geometry-optimized ThMgPb structure (PBE).

abc: 5.0075 5.0075 3.8204
angles: 90.00 90.00 120.00
Space group P3m1 (No. 156)
Unique sites:
Th 0.0000 0.0000 0.0000 x1
Mg 0.3333 0.6667 0.5006 x1
Pb 0.6667 0.3333 0.4991 x1

## Properties
The formation enthalpy at 0 K comes out at -148 meV/atom.

[3]
Entry from Alexandria via LeMat-Bulk: a geometry-optimized ThMgPb2 structure (PBE).

abc: 5.002 5.002 4.501
angles: 90.00 90.00 90.00
Space group P4/mmm (No. 123)
Unique sites:
Th 0.000 0.000 0.000 x1
Mg 0.500 0.500 0.000 x1
Pb 0.000 0.500 0.500 x2

## Properties
The formation enthalpy at 0 K comes out at -252 meV/atom.

[4]
Entry from Alexandria via LeMat-Bulk: a geometry-optimized ThMgPb structure (PBE).

abc: 3.613 3.613 12.943
angles: 90.00 90.00 90.00
Space group I4mm (No. 107)
Unique sites:
Th 0.000 0.000 0.000 x2
Mg 0.000 0.000 0.674 x2
Pb 0.000 0.000 0.316 x2

## Properties
The formation enthalpy at 0 K comes out at -84 meV/atom.

[5]
Entry from Alexandria via LeMat-Bulk: a geometry-optimized ThMgTlPb structure (PBE).

abc: 7.641 7.641 7.641
angles: 90.00 90.00 90.00
Space group F-43m (No. 216)
Unique sites:
Th 0.000 0.000 0.000 x4
Mg 0.000 0.000 0.500 x4
Tl 0.250 0.250 0.750 x4
Pb 0.250 0.250 0.250 x4

## Properties
The formation enthalpy at 0 K comes out at -57 meV/atom.

[6]
Entry from Alexandria via LeMat-Bulk: a geometry-optimized ThMgTlPb structure (PBE).

abc: 4.589 4.863 4.948
angles: 90.00 90.00 90.00
Space group Pmmm (No. 47)
Unique sites:
Th 0.000 0.000 0.000 x1
Mg 0.000 0.500 0.500 x1
Tl 0.500 0.000 0.500 x1
Pb 0.500 0.500 0.000 x1

## Properties
The formation enthalpy at 0 K comes out at -210 meV/atom.